This record from Alexandria describes a relaxed structure of Nd2BeAs. The functional is PBE-GGA.

## Properties
The value obtained for the total energy is -4.36 eV per atom. The value obtained for the total magnetization is 0.00 μB per cell.

Geometry as POSCAR:
```
Nd2BeAs
1.0
4.0381 0.0000 0.0000
2.0191 3.4971 0.0000
2.0191 1.1657 9.4415
Nd Be As
2 1 1
direct
0.8940 0.8940 0.3181 Nd
0.1060 0.1060 0.6819 Nd
0.0000 0.0000 0.0000 Be
0.5000 0.5000 0.5000 As
```

=====

This record from Alexandria describes a relaxed structure of AlSnS2N. The functional is PBE-GGA.

## Properties
For the energy relative to the elements, uncorrected, the calculation gives 722 meV/atom. The value obtained for the total energy is -4.14 eV per atom. The value obtained for the total magnetization is 1.16 μB per cell. Its polymorph energy (0 for the lowest one) is 0.726 eV per atom.

Geometry as POSCAR:
```
AlSnS2N
1.0
5.1041 0.0000 0.0000
0.0000 5.1041 0.0000
0.0000 0.0000 4.0058
Sn S Al N
1 2 1 1
direct
0.0000 0.0000 0.0000 Sn
0.0000 0.5000 0.0000 S
0.5000 0.0000 0.0000 S
0.5000 0.5000 0.5000 Al
0.0000 0.0000 0.5000 N
```

=====

Which value of total energy does entry 2 give?
-4.14 eV per atom

=====

Among the records above, which one has the highest total energy?
AlSnS2N